[1]
Compound: NiAgIr2
Source: Alexandria
Functional: meta-GGA SCAN
Structure: PBEsol geometry

calculated total energy: -47.1379 eV per atom
ΔE to the lowest computed polymorph: 0.03 eV per formula unit
size of the total moment: 1.71 μB/f.u.
crystal system: orthorhombic
formation energy from the elements: 0.30 eV per atom

Cell: 2.6612 2.6612 9.0667 Å, 90.00 90.00 118.71°
Last column: nearest neighbours and their distance in Å.
Fractional positions:
Ni1 0.0000 0.0000 0.0000  4 Ir 2.49, 6 Ni 2.66-2.71
Ag1 0.0000 0.0000 0.5000  6 Ag 2.66-2.71, 4 Ir 2.80
Ir1 0.5000 0.5000 0.2297  2 Ni 2.49, 6 Ir 2.66-2.71
Ir2 0.5000 0.5000 0.7703  2 Ni 2.49, 6 Ir 2.66-2.71


[2]
Compound: TlNiAg2Ir
Source: Alexandria
Functional: meta-GGA SCAN
Structure: PBEsol geometry

calculated total energy: -43.1504 eV per atom
size of the total moment: 0.00 μB/f.u.
crystal system: tetragonal
formation energy from the elements: 1.32 eV per atom

Cell: 4.5581 4.5581 4.6520 Å, 90.00 90.00 90.00°
Last column: nearest neighbours and their distance in Å.
Fractional positions:
Tl1 0.0000 0.0000 0.0000  2 Ni 2.33
Ni1 0.0000 0.0000 0.5000  4 Ag 2.28, 2 Tl 2.33
Ag1 0.0000 0.5000 0.5000  2 Ni 2.28
Ag2 0.5000 0.0000 0.5000  2 Ni 2.28
Ir1 0.5000 0.5000 0.0000  4 Tl 3.22, 8 Ag 3.26


[3]
Compound: AgIr3O
Source: Alexandria
Functional: meta-GGA SCAN
Structure: PBEsol geometry

calculated total energy: -46.9324 eV per atom
size of the total moment: 6.45 μB/f.u.
crystal system: cubic
E_form (uncorrected): 16.2 eV/f.u.

Cell: 4.7590 4.7590 4.7590 Å, 90.00 90.00 90.00°
Last column: nearest neighbours and their distance in Å.
Fractional positions:
Ag1 0.0000 0.0000 0.0000  6 Ir 2.38
Ir1 0.0000 0.0000 0.5000  2 Ag 2.38
Ir2 0.0000 0.5000 0.0000  2 Ag 2.38
Ir3 0.5000 0.0000 0.0000  2 Ag 2.38
O1 0.5000 0.5000 0.5000  12 Ir 3.37


[4]
Compound: Ag2IrOs
Source: Alexandria
Functional: meta-GGA SCAN
Structure: PBEsol geometry

calculated total energy: -50.8339 eV per atom
ΔE to the lowest computed polymorph: 1.29 eV per formula unit
size of the total moment: 1.15 μB/f.u.
crystal system: orthorhombic
formation energy from the elements: 0.59 eV per atom

Cell: 2.7104 4.6552 4.8588 Å, 90.00 90.00 90.00°
Last column: nearest neighbours and their distance in Å.
Fractional positions:
Ag1 0.0000 0.0000 0.0000  6 Ag 2.69-2.71, 4 Os 2.78
Ag2 0.5000 0.5000 0.0000  6 Ag 2.69-2.71, 4 Ir 2.78
Ir1 0.0000 0.5000 0.5000  4 Os 2.69, 2 Ir 2.71, 4 Ag 2.78
Os1 0.5000 0.0000 0.5000  4 Ir 2.69, 2 Os 2.71, 4 Ag 2.78


[5]
Compound: AgIr2Os
Source: Alexandria
Functional: meta-GGA SCAN
Structure: PBEsol geometry

calculated total energy: -60.9547 eV per atom
size of the total moment: 0.00 μB/f.u.
crystal system: monoclinic
formation energy from the elements: 0.41 eV per atom

Cell: 4.7266 4.7266 4.7709 Å, 99.11 99.11 33.42°
Last column: nearest neighbours and their distance in Å.
Fractional positions:
Ag1 0.0000 0.0000 0.0000  6 Ir 2.70-2.80, 2 Ag 2.72, 4 Os 2.75
Ir1 0.2436 0.2436 0.7397  6 Ir 2.68-2.82, 3 Os 2.68-2.75, 3 Ag 2.70-2.80
Ir2 0.7564 0.7564 0.2603  6 Ir 2.68-2.82, 3 Os 2.68-2.75, 3 Ag 2.70-2.80
Os1 0.5000 0.5000 0.5000  6 Ir 2.68-2.75, 2 Os 2.72, 4 Ag 2.75


[6]
Compound: Ag2IrOs
Source: Alexandria
Functional: meta-GGA SCAN
Structure: PBEsol geometry

calculated total energy: -51.1493 eV per atom
ΔE to the lowest computed polymorph: 0.03 eV per formula unit
size of the total moment: 0.00 μB/f.u.
crystal system: tetragonal
formation energy from the elements: 0.28 eV per atom

Cell: 2.7589 2.7589 8.0292 Å, 90.00 90.00 90.00°
Last column: nearest neighbours and their distance in Å.
Fractional positions:
Ag1 0.0000 0.0000 0.0000  8 Ag 2.76-2.88, 4 Os 2.87
Ag2 0.5000 0.5000 0.2632  8 Ag 2.76-2.88, 4 Ir 2.88
Ir1 0.0000 0.0000 0.5265  4 Os 2.59, 4 Ir 2.76, 4 Ag 2.88
Os1 0.5000 0.5000 0.7383  4 Ir 2.59, 4 Os 2.76, 4 Ag 2.87